No. 1
# SmTlCuAg | the Alexandria database | PBE | relaxed
data_SmTlCuAg
_chemical_formula_sum 'Sm4 Tl4 Cu4 Ag4'
_space_group_name_H-M_alt 'F -4 3 m'
_space_group_IT_number 216
_space_group_name_Hall 'F -4 2 3'
_cell_length_a 6.989
_cell_length_b 6.989
_cell_length_c 6.989
_cell_angle_alpha 90.00
_cell_angle_beta 90.00
_cell_angle_gamma 90.00
loop_
_atom_site_label
_atom_site_fract_x
_atom_site_fract_y
_atom_site_fract_z
_atom_site_occupancy
Sm1 0.000 0.000 0.000 1
Tl1 0.000 0.000 0.500 1
Cu1 0.250 0.250 0.750 1
Ag1 0.250 0.250 0.250 1
# - energy of formation from the pure elements (kJ/mol of atoms) = -18
# - calculated volume (Å³/atom) = 21.3
# - calculated total energy (eV per atom) = -3.69

No. 2
# SmTmCuAg | the Alexandria database | PBE | relaxed
data_SmTmCuAg
_chemical_formula_sum 'Sm1 Tm1 Cu1 Ag1'
_space_group_name_H-M_alt 'P 4 m m'
_space_group_IT_number 99
_space_group_name_Hall 'P 4 -2'
_cell_length_a 3.530
_cell_length_b 3.530
_cell_length_c 7.280
_cell_angle_alpha 90.00
_cell_angle_beta 90.00
_cell_angle_gamma 90.00
loop_
_atom_site_label
_atom_site_fract_x
_atom_site_fract_y
_atom_site_fract_z
_atom_site_occupancy
Sm1 0.000 0.000 0.000 1
Tm1 0.000 0.000 0.472 1
Cu1 0.500 0.500 0.256 1
Ag1 0.500 0.500 0.717 1
# - energy of formation from the pure elements (kJ/mol of atoms) = -26
# - energy above the lowest structure with this stoichiometry (meV per atom) = 0
# - calculated volume (Å³/atom) = 22.7
# - calculated total energy (eV per atom) = -4.31

No. 3
# SmTmCuAg | the Alexandria database | PBE | relaxed
data_SmTmCuAg
_chemical_formula_sum 'Sm4 Tm4 Cu4 Ag4'
_space_group_name_H-M_alt 'F -4 3 m'
_space_group_IT_number 216
_space_group_name_Hall 'F -4 2 3'
_cell_length_a 7.160
_cell_length_b 7.160
_cell_length_c 7.160
_cell_angle_alpha 90.00
_cell_angle_beta 90.00
_cell_angle_gamma 90.00
loop_
_atom_site_label
_atom_site_fract_x
_atom_site_fract_y
_atom_site_fract_z
_atom_site_occupancy
Sm1 0.000 0.000 0.000 1
Tm1 0.000 0.000 0.500 1
Cu1 0.250 0.250 0.750 1
Ag1 0.250 0.250 0.250 1
# - energy of formation from the pure elements (kJ/mol of atoms) = -23
# - energy above the lowest structure with this stoichiometry (meV per atom) = 28
# - calculated volume (Å³/atom) = 22.9
# - calculated total energy (eV per atom) = -4.28